DFT (GGA-PBE) results for a relaxed Sm4SbRh2 crystal.

The raw formation energy is -467 kJ/mol of formula units. The calculation puts the total magnetic moment at 0.00 Bohr magnetons per cell. Its density of states at the Fermi level is 42.47 states/eV per cell.

The structure in CIF format:
```
data_Sm4SbRh2
_cell_length_a 11.895
_cell_length_b 14.044
_cell_length_c 8.872
_cell_angle_alpha 90.00
_cell_angle_beta 90.00
_cell_angle_gamma 90.00
_space_group_name_H-M_alt 'F d d 2'
_space_group_IT_number 43
_space_group_name_Hall 'F 2 -2d'
loop_
_atom_site_label
_atom_site_fract_x
_atom_site_fract_y
_atom_site_fract_z
Sm1 0.060 0.109 0.000
Sm2 0.114 0.200 0.594
Sb1 0.000 0.000 0.662
Rh1 0.061 0.180 0.289
```